The following is a PBE calculation of a relaxed structure of RbZr2N, from Alexandria.

Lattice parameters (Å, degrees): 6.952 6.952 6.953 60.00 60.00 90.00
Sites, in units of the cell vectors:
Rb1 0.750 0.250 0.500
Rb2 0.000 0.000 0.000
Zr1 0.375 0.125 0.250
Zr2 0.875 0.625 0.750
Zr3 0.375 0.625 0.750
Zr4 0.375 0.625 0.250
N1 0.500 0.500 0.000
N2 0.250 0.750 0.500

Properties
**Uncorrected formation energy**: 34 meV/atom
**Energy**: -6.56 eV/atom